Compound: FeRh2
Source: the Alexandria database
Functional: PBEsol
Structure: optimized geometry

Its magnetic moment is 11.906 μB per cell. The total energy is -100.69 eV/cell.

It has space group Cm (No. 8), with a = 9.5931 Å, b = 2.6628 Å, c = 6.2330 Å, α = 90.00°, β = 104.59° and γ = 90.00°. The distinct sites, in fractional coordinates, are Fe at (0.0000, 0.0000, 0.0000), Fe at (0.1642, 0.5000, 0.3212), Rh at (0.0553, 0.0000, 0.6007), Rh at (0.2170, 0.5000, 0.9414), Rh at (0.3340, 0.0000, 0.6628) and Rh at (0.3878, 0.0000, 0.2671).